Record 1
DFT (GGA-PBE) results for a geometry-optimized GaIr2Au structure.

Cell and atoms, written as POSCAR:
```
GaIr2Au
1.0
0.000 3.156 3.156
3.156 0.000 3.156
3.156 3.156 0.000
Ga Ir Au
1 2 1
Cartesian
0.000 0.000 0.000
3.156 3.156 3.156
4.734 4.734 4.734
1.578 1.578 1.578
```

Calculated values
E_tot = -22.9 eV for the cell shown
total magnetic moment = 1.05 μB per formula unit

---

Record 2
DFT (GGA-PBE) results for a geometry-optimized SmAgTePbSe2 structure.

Cell and atoms, written as POSCAR:
```
SmAgTePbSe2
1.0
2.105 -7.193 0.000
2.105 7.193 0.000
0.000 0.000 11.317
Sm Ag Te Pb Se
2 2 2 2 4
Cartesian
0.000 0.000 0.000
0.000 0.000 5.658
2.105 0.382 8.488
2.105 -0.382 2.829
2.105 5.681 8.488
2.105 -5.681 2.829
2.105 4.072 2.829
2.105 -4.072 8.488
2.105 1.979 6.355
2.105 1.979 10.620
2.105 -1.979 0.697
2.105 -1.979 4.962
```

Calculated values
E_tot = -53.4 eV for the cell shown
total magnetic moment = 0.00 μB per formula unit

---

Record 3
DFT (GGA-PBE) results for a geometry-optimized SmAsPbO structure.

Cell and atoms, written as POSCAR:
```
SmAsPbO
1.0
4.341 0.000 0.000
0.000 4.341 0.000
0.000 0.000 9.647
Sm As Pb O
2 2 2 2
Cartesian
1.085 1.085 0.959
3.255 3.255 8.688
1.085 1.085 7.038
3.255 3.255 2.609
1.085 3.255 4.823
3.255 1.085 4.823
1.085 3.255 0.000
3.255 1.085 0.000
```

Calculated values
excess energy over the best structure of this formula in the dataset = 0.0 meV/atom
E_tot = -47.4 eV for the cell shown
total magnetic moment = 0.03 μB per formula unit

---

Record 4
DFT (GGA-PBE) results for a geometry-optimized USi structure.

Cell and atoms, written as POSCAR:
```
USi
1.0
0.000 3.173 3.173
3.173 0.000 3.173
3.173 3.173 0.000
U Si
1 1
Cartesian
0.000 0.000 0.000
1.586 1.586 1.586
```

Calculated values
E_tot = -14.5 eV for the cell shown
total magnetic moment = 1.99 μB per formula unit

---

Record 5
DFT (GGA-PBE) results for a geometry-optimized Nd2DyTm3Te2Os structure.

Cell and atoms, written as POSCAR:
```
Nd2DyTm3Te2Os
1.0
4.090 0.000 0.000
0.000 7.256 4.139
0.000 -7.256 4.139
Nd Dy Tm Te Os
2 1 3 2 1
Cartesian
0.000 -4.341 4.139
0.000 4.341 4.139
0.000 0.000 3.437
2.045 0.000 0.224
2.045 -1.733 5.676
2.045 1.733 5.676
2.045 -2.360 2.504
2.045 2.360 2.504
0.000 0.000 6.464
```

Calculated values
E_tot = -51.9 eV for the cell shown
total magnetic moment = 0.03 μB per formula unit

---

Record 6
DFT (GGA-PBE) results for a geometry-optimized Ho2ErIn3CuIr2 structure.

Cell and atoms, written as POSCAR:
```
Ho2ErIn3CuIr2
1.0
3.743 0.000 0.000
0.000 6.600 3.816
0.000 -6.600 3.816
Ho Er In Cu Ir
2 1 3 1 2
Cartesian
0.000 -3.890 3.816
0.000 3.890 3.816
0.000 0.000 2.931
1.872 0.000 0.399
1.872 -1.698 5.081
1.872 1.698 5.081
0.000 0.000 6.063
1.872 -2.193 2.251
1.872 2.193 2.251
```

Calculated values
E_tot = -49.1 eV for the cell shown
total magnetic moment = 0.01 μB per formula unit

---

Record 7
DFT (GGA-PBE) results for a geometry-optimized LaCuAsIr structure.

Cell and atoms, written as POSCAR:
```
LaCuAsIr
1.0
0.000 3.332 3.332
3.332 0.000 3.332
3.332 3.332 0.000
La Cu As Ir
1 1 1 1
Cartesian
0.000 0.000 0.000
4.998 4.998 4.998
1.666 1.666 1.666
3.332 3.332 3.332
```

Calculated values
excess energy over the best structure of this formula in the dataset = 0.0 meV/atom
E_tot = -23.4 eV for the cell shown
total magnetic moment = 0.00 μB per formula unit

---

Record 8
DFT (GGA-PBE) results for a geometry-optimized Ac structure.

Cell and atoms, written as POSCAR:
```
Ac
1.0
-6.874 6.874 6.874
6.874 -6.874 6.874
6.874 6.874 -6.874
Ac
29
Cartesian
0.000 0.000 0.000
4.410 4.410 -4.410
3.894 1.295 -1.295
3.894 -1.295 1.295
7.567 1.846 -1.846
4.410 -4.410 4.410
7.567 -1.846 1.846
9.855 1.295 1.295
1.295 3.894 -1.295
1.295 -1.295 3.894
6.182 1.846 1.846
5.029 5.029 -0.693
5.029 -0.693 5.029
2.464 2.464 2.464
-1.295 3.894 1.295
-1.295 1.295 3.894
1.846 7.567 -1.846
1.846 -1.846 7.567
1.846 6.182 1.846
1.846 1.846 6.182
5.580 5.580 2.981
5.580 2.981 5.580
-4.410 4.410 4.410
-1.846 7.567 1.846
-1.846 1.846 7.567
-0.693 5.029 5.029
1.295 9.855 1.295
1.295 1.295 9.855
2.981 5.580 5.580
```

Calculated values
excess energy over the best structure of this formula in the dataset = 145.9 meV/atom
E_tot = -114.8 eV for the cell shown
E_form = 146 meV per atom
total magnetic moment = 0.00 μB per formula unit